1.
# Er2Al3Ga | Alexandria | PBE | optimized geometry
# Energy relative to the lowest polymorph listed for this composition in eV per atom: 0.090
# Uncorrected energy in eV/cell: -52.1
# Volume in Å³ per cell: 260.0
# Formation energy in kJ/mol of formula units: -256
data_Er2Al3Ga
_symmetry_space_group_name_H-M 'I m m 2'
_symmetry_Int_Tables_number 44
_cell_length_a 4.009
_cell_length_b 4.288
_cell_length_c 15.127
_cell_angle_alpha 90.00
_cell_angle_beta 90.00
_cell_angle_gamma 90.00
loop_
_symmetry_equiv_pos_as_xyz
'x,y,z'
'-x,-y,z'
'-x,y,z'
'x,-y,z'
'x+1/2,y+1/2,z+1/2'
'-x+1/2,-y+1/2,z+1/2'
'-x+1/2,y+1/2,z+1/2'
'x+1/2,-y+1/2,z+1/2'
loop_
_atom_site_label
_atom_site_type_symbol
_atom_site_fract_x
_atom_site_fract_y
_atom_site_fract_z
Er1 Er 0.000 0.000 0.000
Er2 Er 0.000 0.500 0.263
Al1 Al 0.000 0.000 0.589
Al2 Al 0.000 0.500 0.674
Al3 Al 0.000 0.500 0.839
Ga1 Ga 0.000 0.000 0.427

---

2.
# CaPaBi3 | Alexandria | PBE | optimized geometry
# Uncorrected energy in eV/cell: -48.8
# Volume in Å³ per cell: 338.7
# Formation energy in kJ/mol of formula units: -119
data_CaPaBi3
_symmetry_space_group_name_H-M 'P 1 21/m 1'
_symmetry_Int_Tables_number 11
_cell_length_a 8.403
_cell_length_b 4.635
_cell_length_c 8.791
_cell_angle_alpha 90.00
_cell_angle_beta 98.42
_cell_angle_gamma 90.00
loop_
_symmetry_equiv_pos_as_xyz
'x,y,z'
'-x,-y,-z'
'-x,y+1/2,-z'
'x,-y+1/2,z'
loop_
_atom_site_label
_atom_site_type_symbol
_atom_site_fract_x
_atom_site_fract_y
_atom_site_fract_z
Ca1 Ca 0.170 0.250 0.185
Pa1 Pa 0.307 0.750 0.599
Bi1 Bi 0.047 0.250 0.644
Bi2 Bi 0.227 0.750 0.929
Bi3 Bi 0.456 0.750 0.285

---

3.
# BaTa | Alexandria | PBE | optimized geometry
# Energy relative to the lowest polymorph listed for this composition in eV per atom: 0.386
# Uncorrected energy in eV/cell: -71.8
# Volume in Å³ per cell: 379.7
# Formation energy in kJ/mol of formula units: 175
data_BaTa
_symmetry_space_group_name_H-M 'R -3 m'
_symmetry_Int_Tables_number 166
_symmetry_space_group_name_Hall '-R 3 2"'
_cell_length_a 3.5816
_cell_length_b 3.5816
_cell_length_c 34.1787
_cell_angle_alpha 90.00
_cell_angle_beta 90.00
_cell_angle_gamma 120.00
loop_
_atom_site_label
_atom_site_type_symbol
_atom_site_fract_x
_atom_site_fract_y
_atom_site_fract_z
Ba1 Ba 0.0000 0.0000 0.1074
Ta1 Ta 0.0000 0.0000 0.3588

---

4.
# Ba2SbH2 | Alexandria | PBE | optimized geometry
# Energy relative to the lowest polymorph listed for this composition in eV per atom: 0.000
# Uncorrected energy in eV/cell: -36.0
# Volume in Å³ per cell: 275.5
data_Ba2SbH2
_symmetry_space_group_name_H-M 'I 4/m m m'
_symmetry_Int_Tables_number 139
_symmetry_space_group_name_Hall '-I 4 2'
_cell_length_a 4.261
_cell_length_b 4.261
_cell_length_c 15.173
_cell_angle_alpha 90.00
_cell_angle_beta 90.00
_cell_angle_gamma 90.00
loop_
_atom_site_label
_atom_site_type_symbol
_atom_site_fract_x
_atom_site_fract_y
_atom_site_fract_z
Ba1 Ba 0.000 0.000 0.147
Sb1 Sb 0.000 0.000 0.500
H1 H 0.000 0.500 0.250

---

5.
# TaAs2Pt | Alexandria | PBE | optimized geometry
# Energy relative to the lowest polymorph listed for this composition in eV per atom: 0.000
# Uncorrected energy in eV/cell: -28.4
# Volume in Å³ per cell: 69.2
# Formation energy in kJ/mol of formula units: -117
data_TaAs2Pt
_symmetry_space_group_name_H-M 'P 4 m m'
_symmetry_Int_Tables_number 99
_cell_length_a 3.560
_cell_length_b 3.560
_cell_length_c 5.463
_cell_angle_alpha 90.00
_cell_angle_beta 90.00
_cell_angle_gamma 90.00
loop_
_symmetry_equiv_pos_as_xyz
'x,y,z'
'-y,x,z'
'-x,-y,z'
'y,-x,z'
'-x,y,z'
'y,x,z'
'x,-y,z'
'-y,-x,z'
loop_
_atom_site_label
_atom_site_type_symbol
_atom_site_fract_x
_atom_site_fract_y
_atom_site_fract_z
Ta1 Ta 0.000 0.000 0.000
As1 As 0.000 0.000 0.525
As2 As 0.500 0.500 0.169
Pt1 Pt 0.500 0.500 0.685

---

> uncorrected energy of number 2 (CaPaBi3)?

-48.8 eV/cell

---

> The highest uncorrected energy belongs to which entry?

TaAs2Pt